Material: Y2Nb4Bi3N3
Method: DFT, PBE
State: relaxed

The space group is C2/c (No. 15) and the conventional cell measures 10.428, 6.092 and 14.223 Å, with angles of 90.00, 104.18 and 90.00 degrees. The inequivalent atoms are Y at (0.053, 0.084, 0.406), Nb at (0.108, 0.427, 0.570), Nb at (0.221, 0.412, 0.930), Bi at (0.000, 0.450, 0.250), Bi at (0.185, 0.106, 0.750), N at (0.081, 0.245, 0.000) and N at (0.250, 0.250, 0.500).

The calculation puts the total magnetization at 0.01 μB/cell. The value obtained for the final energy is -97.83 eV per formula unit.